Entry from Alexandria: an optimized crystal structure of MgTcSb2 (GGA-PBEsol).

a b c (Å): 3.4774 4.7002 4.7002
angles (deg): 90.00 90.00 90.00
Element x y z (fractional)
1 Tc 0.5000 0.5000 0.5000
2 Mg 0.5000 0.0000 0.0000
3 Sb 0.0000 0.5000 0.0000
4 Sb 0.0000 0.0000 0.5000

Output
**Formation energy without anion corrections**: 0.24 eV/atom
**Space-group type**: P4/mmm
**N(E_F)**: 2.82 states/eV per cell